1.
DFT (PBE) results for a relaxed structure of ScTl2Mo.

Computed properties:
Excess energy over the best structure of this formula in the dataset   129 meV/atom
Energy relative to the elements   1.54 eV/f.u.
Energy   -20.4 eV per cell
SG   Pm (6)

Structure (POSCAR):
```
ScTl2Mo
1.0
3.133 0.000 0.000
0.000 5.117 0.000
-0.223 0.000 5.285
Sc Tl Mo
1 2 1
direct
0.000 0.000 0.000 Sc
0.509 0.000 0.519 Tl
0.586 0.500 0.195 Tl
0.127 0.500 0.713 Mo
```

=====

2.
DFT (PBE) results for a relaxed structure of ErTmMnTl.

Computed properties:
Energy relative to the elements   -0.05 eV/f.u.
Energy   -82.5 eV per cell
SG   F-43m (216)

Structure (POSCAR):
```
ErTmMnTl
1.0
7.295 0.000 0.000
0.000 7.295 0.000
0.000 0.000 7.295
Er Tm Mn Tl
4 4 4 4
direct
0.000 0.000 0.000 Er
0.000 0.500 0.500 Er
0.500 0.000 0.500 Er
0.500 0.500 0.000 Er
0.000 0.000 0.500 Tm
0.000 0.500 0.000 Tm
0.500 0.000 0.000 Tm
0.500 0.500 0.500 Tm
0.250 0.250 0.250 Mn
0.250 0.750 0.750 Mn
0.750 0.250 0.750 Mn
0.750 0.750 0.250 Mn
0.250 0.250 0.750 Tl
0.250 0.750 0.250 Tl
0.750 0.250 0.250 Tl
0.750 0.750 0.750 Tl
```

=====

3.
DFT (PBE) results for a relaxed structure of Cs2CaTa.

Computed properties:
Excess energy over the best structure of this formula in the dataset   0 meV/atom
Energy relative to the elements   5.95 eV/f.u.
Energy   -38.4 eV per cell
SG   I-42d (122)

Structure (POSCAR):
```
Cs2CaTa
1.0
5.017 0.000 0.000
0.000 5.017 0.000
0.000 0.000 27.708
Cs Ca Ta
8 4 4
direct
0.245 0.250 0.125 Cs
0.250 0.745 0.375 Cs
0.250 0.755 0.875 Cs
0.255 0.250 0.625 Cs
0.745 0.750 0.625 Cs
0.750 0.245 0.875 Cs
0.750 0.255 0.375 Cs
0.755 0.750 0.125 Cs
0.000 0.000 0.500 Ca
0.000 0.500 0.750 Ca
0.500 0.000 0.250 Ca
0.500 0.500 0.000 Ca
0.000 0.000 0.000 Ta
0.000 0.500 0.250 Ta
0.500 0.000 0.750 Ta
0.500 0.500 0.500 Ta
```

=====

4.
DFT (PBE) results for a relaxed structure of ZnSb3Cl.

Computed properties:
Excess energy over the best structure of this formula in the dataset   420 meV/atom
Formation energy without anion corrections   0.880 eV/atom
Energy   -11.1 eV per cell
SG   Pm-3m (221)

Structure (POSCAR):
```
ZnSb3Cl
1.0
5.360 0.000 0.000
0.000 5.360 0.000
0.000 0.000 5.360
Zn Sb Cl
1 3 1
direct
0.000 0.000 0.000 Zn
0.000 0.500 0.500 Sb
0.500 0.000 0.500 Sb
0.500 0.500 0.000 Sb
0.500 0.500 0.500 Cl
```

=====

5.
DFT (PBE) results for a relaxed structure of TeAsF3.

Computed properties:
Excess energy over the best structure of this formula in the dataset   0 meV/atom
Formation energy without anion corrections   -0.905 eV/atom
Energy   -17.9 eV per cell
SG   Pm-3m (221)

Structure (POSCAR):
```
TeAsF3
1.0
4.409 0.000 0.000
0.000 4.409 0.000
0.000 0.000 4.409
Te As F
1 1 3
direct
0.000 0.000 0.000 Te
0.500 0.500 0.500 As
0.000 0.500 0.500 F
0.500 0.000 0.500 F
0.500 0.500 0.000 F
```

=====

6.
DFT (PBE) results for a relaxed structure of SmEr2C.

Computed properties:
Excess energy over the best structure of this formula in the dataset   88 meV/atom
Energy relative to the elements   -0.46 eV/f.u.
Energy   -70.6 eV per cell
SG   R-3m (166)

Structure (POSCAR):
```
SmEr2C
1.0
3.505 0.000 0.000
-1.753 3.036 0.000
0.000 0.000 29.157
Sm Er C
3 6 3
direct
0.000 0.000 0.000 Sm
0.333 0.667 0.667 Sm
0.667 0.333 0.333 Sm
0.000 0.000 0.121 Er
0.000 0.000 0.879 Er
0.333 0.667 0.546 Er
0.333 0.667 0.788 Er
0.667 0.333 0.212 Er
0.667 0.333 0.454 Er
0.000 0.000 0.500 C
0.333 0.667 0.167 C
0.667 0.333 0.833 C
```

=====

7.
DFT (PBE) results for a relaxed structure of BeV2Co.

Computed properties:
Excess energy over the best structure of this formula in the dataset   92 meV/atom
Energy relative to the elements   -0.05 eV/f.u.
Energy   -29.1 eV per cell
SG   P4/mmm (123)

Structure (POSCAR):
```
BeV2Co
1.0
2.995 0.000 0.000
0.000 2.995 0.000
0.000 0.000 5.073
Be V Co
1 2 1
direct
0.000 0.000 0.000 Be
0.500 0.500 0.243 V
0.500 0.500 0.757 V
0.000 0.000 0.500 Co
```

=====

8.
DFT (PBE) results for a relaxed structure of SmY2Tl.

Computed properties:
Excess energy over the best structure of this formula in the dataset   2 meV/atom
Energy relative to the elements   -0.78 eV/f.u.
Energy   -83.2 eV per cell
SG   Cmcm (63)

Structure (POSCAR):
```
SmY2Tl
1.0
3.679 0.000 0.000
0.000 12.963 0.000
0.000 0.000 10.284
Sm Y Tl
4 8 4
direct
0.000 0.042 0.250 Sm
0.000 0.958 0.750 Sm
0.500 0.458 0.750 Sm
0.500 0.542 0.250 Sm
0.000 0.368 0.030 Y
0.000 0.368 0.470 Y
0.000 0.632 0.530 Y
0.000 0.632 0.970 Y
0.500 0.132 0.530 Y
0.500 0.132 0.970 Y
0.500 0.868 0.030 Y
0.500 0.868 0.470 Y
0.000 0.241 0.750 Tl
0.000 0.759 0.250 Tl
0.500 0.259 0.250 Tl
0.500 0.741 0.750 Tl
```